1.
First-principles (PBE) data for NdY2Ag2 after structural relaxation, as listed in Alexandria via LeMat-Bulk.

E_form: -0.223 eV per atom

a = 13.706 Å, b = 13.706 Å, c = 5.359 Å
α = 90.00°, β = 90.00°, γ = 164.59°
Fractional positions:
Nd (0.145, 0.855, 0.750)
Nd (0.855, 0.145, 0.250)
Y (0.048, 0.952, 0.250)
Y (0.234, 0.766, 0.250)
Y (0.766, 0.234, 0.750)
Y (0.952, 0.048, 0.750)
Ag (0.358, 0.642, 0.750)
Ag (0.456, 0.544, 0.250)
Ag (0.544, 0.456, 0.750)
Ag (0.642, 0.358, 0.250)


2.
First-principles (PBE) data for BaNdTlHg after structural relaxation, as listed in Alexandria via LeMat-Bulk.

E_form: -0.352 eV per atom

a = 5.747 Å, b = 5.747 Å, c = 5.747 Å
α = 60.00°, β = 60.00°, γ = 60.00°
Fractional positions:
Ba (0.000, 0.000, 0.000)
Nd (0.500, 0.500, 0.500)
Tl (0.250, 0.250, 0.250)
Hg (0.750, 0.750, 0.750)


3.
First-principles (PBE) data for CaEr3C after structural relaxation, as listed in Alexandria via LeMat-Bulk.

E_form: -0.022 eV per atom

a = 5.057 Å, b = 5.057 Å, c = 5.057 Å
α = 90.00°, β = 90.00°, γ = 90.00°
Fractional positions:
Ca (0.000, 0.000, 0.000)
Er (0.000, 0.500, 0.500)
Er (0.500, 0.000, 0.500)
Er (0.500, 0.500, 0.000)
C (0.500, 0.500, 0.500)